Record 1
The following is a DFT calculation (PBE+U) of a geometry-optimized MgTi2NiO6 structure.

```
data_MgTi2NiO6
_chemical_formula_sum 'Mg3 Ti6 Ni3 O18'
_space_group_name_H-M_alt 'R 3'
_space_group_IT_number 146
_space_group_name_Hall 'R 3'
_cell_length_a 5.0850
_cell_length_b 5.0850
_cell_length_c 14.0080
_cell_angle_alpha 90.00
_cell_angle_beta 90.00
_cell_angle_gamma 120.00
loop_
_atom_site_label
_atom_site_type_symbol
_atom_site_fract_x
_atom_site_fract_y
_atom_site_fract_z
Mg1 Mg 0.0000 0.0000 0.0000
Ti1 Ti 0.0000 0.0000 0.2101
Ti2 Ti 0.0000 0.0000 0.4967
Ni1 Ni 0.0000 0.0000 0.7043
O1 O 0.0175 0.3155 0.1073
O2 O 0.0374 0.6870 0.2674
```

Output
D(E_F) in states/eV per cell: 0.00
Total DFT energy (no corrections) in eV for the cell shown: -227.43

Record 2
The following is a DFT calculation (PBE+U) of a geometry-optimized Mg6TiNiO8 structure.

```
data_Mg6TiNiO8
_chemical_formula_sum 'Mg6 Ti1 Ni1 O8'
_space_group_name_H-M_alt 'P 4/m m m'
_space_group_IT_number 123
_space_group_name_Hall '-P 4 2'
_cell_length_a 4.2036
_cell_length_b 4.2036
_cell_length_c 8.8725
_cell_angle_alpha 90.00
_cell_angle_beta 90.00
_cell_angle_gamma 90.00
loop_
_atom_site_label
_atom_site_type_symbol
_atom_site_fract_x
_atom_site_fract_y
_atom_site_fract_z
Mg1 Mg 0.0000 0.0000 0.0000
Mg2 Mg 0.0000 0.5000 0.2462
Mg3 Mg 0.5000 0.5000 0.0000
Ti1 Ti 0.0000 0.0000 0.5000
Ni1 Ni 0.5000 0.5000 0.5000
O1 O 0.0000 0.0000 0.2564
O2 O 0.0000 0.5000 0.0000
O3 O 0.0000 0.5000 0.5000
O4 O 0.5000 0.5000 0.2307
```

Output
Energy relative to the lowest polymorph listed for this composition in meV per atom: 7
D(E_F) in states/eV per cell: 3.07